Material: Tl2Ag2F7
Method: DFT, PBE
State: optimized geometry

Cell lengths 5.756, 5.618, 5.618 Å; angles 84.06, 90.97, 90.97 degrees
Fractional positions:
Tl  0.502  0.274  0.274
Tl  0.498  0.726  0.726
Ag  0.000  0.232  0.768
Ag  0.000  0.768  0.232
F  0.745  0.005  0.508
F  0.255  0.492  0.995
F  0.255  0.995  0.492
F  0.745  0.508  0.005
F  0.500  0.000  0.000
F  0.266  0.495  0.495
F  0.734  0.505  0.505

Results
Calculated total energy (eV/cell): -39.94
E above lowest polymorph (meV/atom): 0
Space group: C2/m

---

Material: Tl5Ag3F12
Method: DFT, PBE
State: optimized geometry

Cell lengths 12.623, 12.623, 12.623 Å; angles 109.47, 109.47, 109.47 degrees
Fractional positions:
Ag  0.750  0.375  0.125
Ag  0.875  0.750  0.125
Ag  0.375  0.750  0.625
Ag  0.250  0.125  0.375
Ag  0.875  0.125  0.250
Ag  0.375  0.625  0.250
Ag  0.625  0.375  0.750
Ag  0.125  0.875  0.750
Ag  0.750  0.875  0.625
Ag  0.625  0.250  0.375
Ag  0.125  0.250  0.875
Ag  0.250  0.625  0.875
Tl  0.125  0.375  0.250
Tl  0.000  0.500  0.000
Tl  0.000  0.000  0.000
Tl  0.375  0.250  0.125
Tl  0.500  0.000  0.500
Tl  0.500  0.500  0.000
Tl  0.125  0.750  0.375
Tl  0.750  0.125  0.875
Tl  0.750  0.625  0.375
Tl  0.375  0.125  0.750
Tl  0.625  0.875  0.250
Tl  0.500  0.500  0.500
Tl  0.500  0.000  0.000
Tl  0.000  0.000  0.500
Tl  0.250  0.375  0.625
Tl  0.250  0.875  0.125
Tl  0.000  0.500  0.500
Tl  0.875  0.250  0.625
Tl  0.625  0.750  0.875
Tl  0.875  0.625  0.750
F  0.706  0.089  0.050
F  0.344  0.550  0.461
F  0.950  0.411  0.294
F  0.550  0.206  0.089
F  0.617  0.706  0.656
F  0.950  0.539  0.156
F  0.344  0.794  0.383
F  0.039  0.883  0.089
F  0.539  0.950  0.656
F  0.706  0.617  0.156
F  0.794  0.450  0.411
F  0.844  0.961  0.050
F  0.089  0.706  0.550
F  0.411  0.461  0.117
F  0.117  0.961  0.411
F  0.383  0.089  0.539
F  0.117  0.156  0.206
F  0.450  0.656  0.039
F  0.844  0.883  0.294
F  0.089  0.383  0.039
F  0.411  0.950  0.794
F  0.539  0.589  0.383
F  0.961  0.844  0.550
F  0.794  0.344  0.883
F  0.461  0.411  0.617
F  0.039  0.156  0.450
F  0.206  0.656  0.117
F  0.156  0.117  0.706
F  0.589  0.050  0.206
F  0.911  0.617  0.961
F  0.550  0.344  0.961
F  0.617  0.911  0.461
F  0.883  0.844  0.794
F  0.883  0.039  0.589
F  0.911  0.294  0.450
F  0.156  0.039  0.950
F  0.589  0.539  0.883
F  0.461  0.050  0.344
F  0.294  0.383  0.844
F  0.206  0.550  0.589
F  0.961  0.117  0.911
F  0.656  0.206  0.617
F  0.450  0.794  0.911
F  0.050  0.461  0.844
F  0.383  0.294  0.344
F  0.050  0.589  0.706
F  0.656  0.450  0.539
F  0.294  0.911  0.950

Results
Calculated total energy (eV/cell): -293.85
Space group: Ia-3d

---

Material: TlAg2F3
Method: DFT, PBE
State: optimized geometry

Cell lengths 3.859, 6.862, 8.473 Å; angles 90.46, 103.16, 90.00 degrees
Fractional positions:
Tl  0.356  0.074  0.712
Tl  0.644  0.926  0.288
Ag  0.310  0.609  0.621
Ag  0.690  0.391  0.379
Ag  0.023  0.710  0.047
Ag  0.977  0.290  0.953
F  0.207  0.143  0.414
F  0.159  0.612  0.318
F  0.450  0.728  0.900
F  0.793  0.857  0.586
F  0.550  0.272  0.100
F  0.841  0.388  0.682

Results
Calculated total energy (eV/cell): -41.89
E above lowest polymorph (meV/atom): 7
Space group: C2/m

---

Material: Tl2Ag2F5
Method: DFT, PBE
State: optimized geometry

Cell lengths 4.427, 7.009, 6.493 Å; angles 111.55, 90.00, 108.41 degrees
Fractional positions:
Tl  0.390  0.780  0.658
Tl  0.610  0.220  0.342
Ag  0.132  0.265  0.872
Ag  0.868  0.735  0.128
F  0.357  0.713  0.102
F  0.643  0.287  0.898
F  0.187  0.375  0.588
F  0.813  0.625  0.412
F  0.000  0.000  0.000

Results
Calculated total energy (eV/cell): -32.49
Space group: C2/m

---

Material: TlAgF6
Method: DFT, PBE
State: optimized geometry

Cell lengths 5.368, 5.712, 6.451 Å; angles 57.71, 59.30, 56.11 degrees
Fractional positions:
Tl  0.000  0.000  0.000
Ag  0.500  0.500  0.500
F  0.104  0.437  0.730
F  0.725  0.129  0.741
F  0.615  0.230  0.228
F  0.275  0.871  0.259
F  0.896  0.563  0.270
F  0.385  0.770  0.772

Results
Calculated total energy (eV/cell): -27.49
Space group: P-1

---

Material: Tl2AgF8
Method: DFT, PBE
State: optimized geometry

Cell lengths 4.632, 6.032, 6.032 Å; angles 112.50, 99.62, 99.62 degrees
Site moments in Bohr magnetons follow the coordinates.
Fractional positions:
Tl  0.000  0.313  0.687  0.00
Tl  0.000  0.687  0.313  0.00
Ag  0.500  0.000  0.000  0.55
F  0.894  0.922  0.654  0.01
F  0.894  0.654  0.922  0.01
F  0.299  0.643  0.643  0.08
F  0.500  0.789  0.211  0.12
F  0.500  0.211  0.789  0.12
F  0.701  0.357  0.357  0.08
F  0.106  0.346  0.078  0.01
F  0.106  0.078  0.346  0.01

Results
Calculated total energy (eV/cell): -39.64
E above lowest polymorph (meV/atom): 38
Space group: C2/m

---

Material: TlAgF3
Method: DFT, PBE
State: optimized geometry

Cell lengths 4.778, 4.778, 9.033 Å; angles 74.66, 74.66, 90.00 degrees
Site moments in Bohr magnetons follow the coordinates.
Fractional positions:
Tl  0.647  0.147  0.706  0.04
Tl  0.853  0.353  0.294  0.05
Ag  0.000  0.000  0.000  0.35
Ag  0.250  0.750  0.500  0.23
F  0.154  0.895  0.211  0.20
F  0.105  0.846  0.789  0.28
F  0.105  0.365  0.789  0.28
F  0.635  0.895  0.211  0.20
F  0.270  0.270  0.461  0.07
F  0.730  0.730  0.539  0.08

Results
Calculated total energy (eV/cell): -33.30
E above lowest polymorph (meV/atom): 340
Space group: I-4m2

---

Material: TlAg3F6
Method: DFT, PBE
State: optimized geometry

Cell lengths 6.037, 6.182, 8.864 Å; angles 90.00, 88.69, 90.00 degrees
Fractional positions:
Tl  0.500  0.500  0.500
Tl  0.000  0.000  0.000
Ag  0.524  0.938  0.759
Ag  0.500  0.500  0.000
Ag  0.476  0.062  0.241
Ag  0.024  0.562  0.259
Ag  0.000  0.000  0.500
Ag  0.976  0.438  0.741
F  0.701  0.187  0.939
F  0.675  0.211  0.586
F  0.636  0.426  0.271
F  0.364  0.574  0.729
F  0.325  0.789  0.414
F  0.299  0.813  0.061
F  0.201  0.313  0.439
F  0.175  0.289  0.086
F  0.136  0.074  0.771
F  0.864  0.926  0.229
F  0.825  0.711  0.914
F  0.799  0.687  0.561

Results
Calculated total energy (eV/cell): -70.97
E above lowest polymorph (meV/atom): 0
Space group: P2_1/c

---

no.,E_form (uncorrected) (eV per atom)
1,-1.49
2,-1.53
3,-1.21
4,-1.41
5,-1.38
6,-1.55
7,-1.16
8,-1.33